1.
# Si2AgRu (PBE, optimized geometry)
# Space-group type ... Cmmm
# Energy above the lowest structure with this stoichiometry ... 258 meV/atom
# Calculated volume ... 15.6 Å³ per atom
# Magnetic moment ... 0.00 μB/f.u.
data_Si2AgRu
_chemical_formula_sum 'Si2 Ag1 Ru1'
_space_group_name_H-M_alt 'P 1'
_space_group_IT_number 1
_cell_length_a 2.8750
_cell_length_b 2.8750
_cell_length_c 8.5764
_cell_angle_alpha 90.00
_cell_angle_beta 90.00
_cell_angle_gamma 118.52
loop_
_space_group_symop_operation_xyz
'x,y,z'
loop_
_atom_site_label
_atom_site_fract_x
_atom_site_fract_y
_atom_site_fract_z
_atom_site_occupancy
Ag1 0.5000 0.5000 0.2500 1
Ru1 0.5000 0.5000 0.7500 1
Si1 0.0000 0.0000 0.9717 1
Si2 0.0000 0.0000 0.5283 1



2.
# Si2AgRu (PBE, optimized geometry)
# Space-group type ... P4mm
# Energy above the lowest structure with this stoichiometry ... 73 meV/atom
# Calculated volume ... 14.7 Å³ per atom
# Magnetic moment ... 0.34 μB/f.u.
data_Si2AgRu
_chemical_formula_sum 'Si2 Ag1 Ru1'
_space_group_name_H-M_alt 'P 1'
_space_group_IT_number 1
_cell_length_a 3.3522
_cell_length_b 3.3522
_cell_length_c 5.2154
_cell_angle_alpha 90.00
_cell_angle_beta 90.00
_cell_angle_gamma 90.00
loop_
_space_group_symop_operation_xyz
'x,y,z'
loop_
_atom_site_label
_atom_site_fract_x
_atom_site_fract_y
_atom_site_fract_z
_atom_site_occupancy
Ag1 0.0000 0.0000 0.4675 1
Ru1 0.5000 0.5000 0.8030 1
Si1 0.0000 0.0000 0.9688 1
Si2 0.5000 0.5000 0.2607 1



3.
# Si2AgRu (PBE, optimized geometry)
# Space-group type ... Immm
# Energy above the lowest structure with this stoichiometry ... 324 meV/atom
# Calculated volume ... 15.2 Å³ per atom
# Magnetic moment ... 0.00 μB/f.u.
data_Si2AgRu
_chemical_formula_sum 'Si2 Ag1 Ru1'
_space_group_name_H-M_alt 'P 1'
_space_group_IT_number 1
_cell_length_a 5.0337
_cell_length_b 5.0337
_cell_length_c 5.0337
_cell_angle_alpha 145.63
_cell_angle_beta 120.73
_cell_angle_gamma 70.34
loop_
_space_group_symop_operation_xyz
'x,y,z'
loop_
_atom_site_label
_atom_site_fract_x
_atom_site_fract_y
_atom_site_fract_z
_atom_site_occupancy
Ag1 0.7500 0.2500 0.5000 1
Ru1 0.2500 0.7500 0.5000 1
Si1 0.0173 0.0173 0.0000 1
Si2 0.4827 0.4827 0.0000 1



4.
# SiAgRu2 (PBE, optimized geometry)
# Space-group type ... C2/m
# Calculated volume ... 14.8 Å³ per atom
# Magnetic moment ... 0.00 μB/f.u.
data_SiAgRu2
_chemical_formula_sum 'Si1 Ag1 Ru2'
_space_group_name_H-M_alt 'P 1'
_space_group_IT_number 1
_cell_length_a 5.1901
_cell_length_b 5.1901
_cell_length_c 2.7637
_cell_angle_alpha 76.07
_cell_angle_beta 76.07
_cell_angle_gamma 116.82
loop_
_space_group_symop_operation_xyz
'x,y,z'
loop_
_atom_site_label
_atom_site_fract_x
_atom_site_fract_y
_atom_site_fract_z
_atom_site_occupancy
Ag1 0.0000 0.5000 0.5000 1
Ru1 0.0000 0.0000 0.0000 1
Ru2 0.5000 0.5000 0.0000 1
Si1 0.5000 0.0000 0.5000 1



5.
# SiAgRu2 (PBE, optimized geometry)
# Space-group type ... P4/mmm
# Calculated volume ... 14.4 Å³ per atom
# Magnetic moment ... 0.00 μB/f.u.
data_SiAgRu2
_chemical_formula_sum 'Si1 Ag1 Ru2'
_space_group_name_H-M_alt 'P 1'
_space_group_IT_number 1
_cell_length_a 2.9313
_cell_length_b 2.9313
_cell_length_c 6.7071
_cell_angle_alpha 90.00
_cell_angle_beta 90.00
_cell_angle_gamma 90.00
loop_
_space_group_symop_operation_xyz
'x,y,z'
loop_
_atom_site_label
_atom_site_fract_x
_atom_site_fract_y
_atom_site_fract_z
_atom_site_occupancy
Ag1 0.5000 0.5000 0.7500 1
Ru1 0.0000 0.0000 0.0469 1
Ru2 0.0000 0.0000 0.4531 1
Si1 0.5000 0.5000 0.2500 1



6.
# SiAgRu2 (PBE, optimized geometry)
# Space-group type ... Cmmm
# Calculated volume ... 14.8 Å³ per atom
# Magnetic moment ... 0.00 μB/f.u.
data_SiAgRu2
_chemical_formula_sum 'Si1 Ag1 Ru2'
_space_group_name_H-M_alt 'P 1'
_space_group_IT_number 1
_cell_length_a 2.7694
_cell_length_b 2.7694
_cell_length_c 8.6093
_cell_angle_alpha 90.00
_cell_angle_beta 90.00
_cell_angle_gamma 115.93
loop_
_space_group_symop_operation_xyz
'x,y,z'
loop_
_atom_site_label
_atom_site_fract_x
_atom_site_fract_y
_atom_site_fract_z
_atom_site_occupancy
Ag1 0.5000 0.5000 0.7500 1
Ru1 0.0000 0.0000 0.0366 1
Ru2 0.0000 0.0000 0.4634 1
Si1 0.5000 0.5000 0.2500 1



Calculated values (meV/atom) of uncorrected formation energy for the records, taken in order: 152, -33, 218, 381, -74, 90.